This record from the Alexandria database describes an optimized crystal structure of Pr2ErMg2. The functional is PBE-GGA.

a b c (Å): 5.248 6.061 6.061
angles (deg): 71.48 64.34 64.34
Fractional positions:
Pr: 0.194 0.306 0.306
Pr: 0.806 0.694 0.694
Er: 0.000 0.000 0.000
Mg: 0.500 0.290 0.710
Mg: 0.500 0.710 0.290

Total moment in μB per formula unit: 0.000
DOS at the Fermi energy in states/eV/f.u.: 6.93
ΔH_f (0 K) in eV/atom: 0.032
Space group: No. 71